Compound: NiPd6Au2
Source: the Alexandria database
Functional: PBE-GGA
Structure: optimized geometry

Geometry as CIF:
```
data_NiPd6Au2
_chemical_formula_sum 'Ni4 Pd24 Au8'
_symmetry_space_group_name_H-M 'F m m m'
_symmetry_Int_Tables_number 69
_symmetry_space_group_name_Hall '-F 2 2'
_cell_length_a 3.953
_cell_length_b 11.904
_cell_length_c 11.947
_cell_angle_alpha 90.00
_cell_angle_beta 90.00
_cell_angle_gamma 90.00
loop_
_atom_site_label
_atom_site_fract_x
_atom_site_fract_y
_atom_site_fract_z
Ni1 0.000 0.000 0.000
Pd1 0.000 0.000 0.334
Pd2 0.000 0.164 0.167
Au1 0.000 0.162 0.500
```

Computed properties:
Crystal system: orthorhombic
E in hartree per atom: -0.1775
Polymorph energy (0 for the lowest one) in meV/atom: 11